The following is a PBE calculation of a relaxed Ca6Si2N crystal, from Alexandria.

Properties
Total magnetic moment = 0.8 μB per formula unit
Formation energy without anion corrections = -0.369 eV/atom
Fermi-level density of states = 0.4008 states/eV/atom
Energy relative to the lowest polymorph listed for this composition = 0.154 eV per atom

abc: 6.4815 6.4815 12.8897
angles: 90.00 90.00 90.00
Fractional positions:
Ca  0.3170  0.3170  0.6453
Ca  0.7214  0.7214  0.0000
Ca  0.6830  0.6830  0.6453
Ca  0.1830  0.8170  0.8547
Ca  0.7786  0.2214  0.5000
Ca  0.1830  0.8170  0.1453
Ca  0.6830  0.6830  0.3547
Ca  0.2214  0.7786  0.5000
Ca  0.8170  0.1830  0.1453
Ca  0.2786  0.2786  0.0000
Ca  0.3170  0.3170  0.3547
Ca  0.8170  0.1830  0.8547
Si  0.0000  0.0000  0.3330
Si  0.0000  0.0000  0.6670
Si  0.5000  0.5000  0.1670
Si  0.5000  0.5000  0.8330
N  0.0000  0.0000  0.0000
N  0.5000  0.5000  0.5000